# 1
! TlAsSe2 | Alexandria via LeMat-Bulk | PBE | optimized geometry; values from VASP
&SYSTEM
  ibrav = 0, nat = 4, ntyp = 3
/
ATOMIC_SPECIES
Tl 204.38 Tl.upf
As 74.92 As.upf
Se 78.96 Se.upf
CELL_PARAMETERS angstrom
2.024 1.168 7.230
-2.024 1.168 7.230
0.000 -2.337 7.230
ATOMIC_POSITIONS angstrom
Tl 0.000 0.000 0.000
As 0.000 0.000 16.680
Se 0.000 0.000 5.655
Se 0.000 0.000 10.695
! formation energy (no corrections): -33 meV/atom
! ρ: 7078 kg/m3
! SG: R3m


# 2
! TbPrSm5 | Alexandria via LeMat-Bulk | PBE | optimized geometry; values from VASP
&SYSTEM
  ibrav = 0, nat = 7, ntyp = 3
/
ATOMIC_SPECIES
Tb 158.93 Tb.upf
Pr 140.91 Pr.upf
Sm 150.36 Sm.upf
CELL_PARAMETERS angstrom
-4.008 5.896 3.135
4.008 -5.896 3.135
4.008 5.896 -3.135
ATOMIC_POSITIONS angstrom
Tb 0.000 0.000 0.000
Pr 4.008 0.000 1.470
Sm 0.000 0.000 2.951
Sm 4.008 2.977 1.494
Sm -1.443 5.896 1.478
Sm 1.443 5.896 1.478
Sm 0.000 2.918 4.629
! energy above the lowest structure with this stoichiometry: 0.7010 eV per atom
! energy of formation from the pure elements: 871 meV per atom
! ρ: 5894 kg/m3
! SG: Imm2


# 3
! NbRe2HOs | Alexandria via LeMat-Bulk | PBE | optimized geometry; values from VASP
&SYSTEM
  ibrav = 0, nat = 5, ntyp = 4
/
ATOMIC_SPECIES
Nb 92.91 Nb.upf
Re 186.21 Re.upf
H 1.01 H.upf
Os 190.23 Os.upf
CELL_PARAMETERS angstrom
4.009 0.000 0.000
0.000 4.009 0.000
0.000 0.000 4.000
ATOMIC_POSITIONS angstrom
Nb 0.000 0.000 0.000
Re 0.000 2.004 2.000
Re 2.004 0.000 2.000
H 2.004 2.004 2.000
Os 2.004 2.004 0.000
! energy above the lowest structure with this stoichiometry: 0.0250 eV per atom
! ρ: 16962 kg/m3
! SG: P4/mmm